# Tb6Ho19Tm4 GGA-PBE relaxed
# Electronic total energy ... -4.19 eV per atom
# Crystal system ... cubic
# Energy of formation ... 0.38 eV/atom
data_Tb6Ho19Tm4
_symmetry_space_group_name_H-M 'I 2 3'
_symmetry_Int_Tables_number 197
_symmetry_space_group_name_Hall 'I 2 2 3'
_cell_length_a 12.325
_cell_length_b 12.325
_cell_length_c 12.325
_cell_angle_alpha 90.00
_cell_angle_beta 90.00
_cell_angle_gamma 90.00
loop_
_atom_site_label
_atom_site_fract_x
_atom_site_fract_y
_atom_site_fract_z
Tb1 0.000 0.127 0.500
Ho1 0.000 0.000 0.000
Ho2 0.000 0.000 0.260
Ho3 0.064 0.278 0.740
Tm1 0.179 0.179 0.179

# AlCr3As GGA-PBE relaxed
# Electronic total energy ... -6.70 eV per atom
# Crystal system ... cubic
# Excess energy over the best structure of this formula in the dataset ... 0.0 meV per atom
# Energy of formation ... 0.76 eV/atom
data_AlCr3As
_symmetry_space_group_name_H-M 'P m -3 m'
_symmetry_Int_Tables_number 221
_symmetry_space_group_name_Hall '-P 4 2 3'
_cell_length_a 4.530
_cell_length_b 4.530
_cell_length_c 4.530
_cell_angle_alpha 90.00
_cell_angle_beta 90.00
_cell_angle_gamma 90.00
loop_
_atom_site_label
_atom_site_fract_x
_atom_site_fract_y
_atom_site_fract_z
Al1 0.000 0.000 0.000
Cr1 0.000 0.500 0.500
As1 0.500 0.500 0.500

# Pr2NbN GGA-PBE relaxed
# Electronic total energy ... -6.99 eV per atom
# Formation energy (no corrections) ... -0.006 eV per atom
# Crystal system ... trigonal
data_Pr2NbN
_symmetry_space_group_name_H-M 'R -3 m'
_symmetry_Int_Tables_number 166
_symmetry_space_group_name_Hall '-R 3 2"'
_cell_length_a 3.4223
_cell_length_b 3.4223
_cell_length_c 27.5399
_cell_angle_alpha 90.00
_cell_angle_beta 90.00
_cell_angle_gamma 120.00
loop_
_atom_site_label
_atom_site_fract_x
_atom_site_fract_y
_atom_site_fract_z
Pr1 0.0000 0.0000 0.1128
Nb1 0.0000 0.0000 0.0000
N1 0.0000 0.0000 0.5000